Record 1
Entry from the Alexandria database: an optimized crystal structure of RbTa2F11 (PBE).

space-group type: Ibam
crystal system: orthorhombic
total moment: 0.0 μB per cell
formation energy without anion corrections: -3.2083 eV per atom

The structure in extended XYZ format:
```
28
Lattice="-4.0844 5.2537 6.2194 4.0844 -5.2537 6.2194 4.0844 5.2537 -6.2194" Properties=species:S:1:pos:R:3 pbc="T T T"
Rb 0.0000 0.0000 3.1097
Rb 0.0000 0.0000 9.3292
Ta 4.9698 1.9131 0.0000
Ta 0.8853 3.3406 0.0000
Ta 3.1991 1.9131 6.2194
Ta -0.8853 3.3406 6.2194
F 4.0844 0.0000 0.0000
F 2.1791 -1.0189 1.3479
F 4.9299 -3.2847 4.8916
F 5.9898 1.0189 1.3479
F 4.9299 3.2847 -1.3279
F 3.0402 2.1722 0.0000
F 3.0402 -2.1722 6.2194
F 0.8455 1.9690 1.3279
F 1.9053 4.2348 -1.3479
F 4.9299 3.2847 1.3279
F 2.1791 1.0189 4.8716
F 0.0000 5.2537 0.0000
F 1.9053 4.2348 1.3479
F -0.8455 1.9690 4.8916
F 2.1791 1.0189 7.5673
F 3.2389 3.2847 4.8916
F 1.0442 7.4259 0.0000
F 1.0442 3.0815 6.2194
F -0.8455 1.9690 7.5473
F -1.9053 4.2348 4.8716
F -0.8455 8.5384 1.3279
F 1.9053 6.2726 4.8716
```

---

Record 2
Entry from the Alexandria database: an optimized crystal structure of Ac2ZnAg2 (PBE).

DFT formation energy: -0.279 eV per atom
space-group type: C2/m
crystal system: monoclinic
total moment: 0.0 μB per cell

The structure in extended XYZ format:
```
10
Lattice="5.7847 -2.3473 0.0000 5.7847 2.3473 0.0000 -5.4369 0.0000 10.4992" Properties=species:S:1:pos:R:3 pbc="T T T"
Ac -1.5188 0.0000 3.6511
Ac 1.6608 0.0000 1.1540
Ac 4.4717 0.0000 9.3452
Ac 7.6514 0.0000 6.8482
Zn -0.5007 0.0000 6.9410
Zn 6.6333 0.0000 3.5582
Ag 1.8155 0.0000 4.4845
Ag 5.0122 0.0000 1.2530
Ag 1.1203 0.0000 9.2463
Ag 4.3170 0.0000 6.0147
```

---

Record 3
Entry from the Alexandria database: an optimized crystal structure of Na3MgTl5 (PBE).

DFT formation energy: 0.012 eV per atom
space-group type: I4/mcm
crystal system: tetragonal
total moment: 0.0 μB per cell
excess energy over the best structure of this formula in the dataset: 0.098 eV/atom

The structure in extended XYZ format:
```
18
Lattice="-4.4354 4.4354 6.7403 4.4354 -4.4354 6.7403 4.4354 4.4354 -6.7403" Properties=species:S:1:pos:R:3 pbc="T T T"
Na 5.4375 1.0020 0.0000
Na 0.0000 0.0000 3.3701
Na 1.0020 3.4334 0.0000
Na 3.4334 1.0020 6.7403
Na 0.0000 0.0000 10.1104
Na -1.0020 3.4334 6.7403
Mg 4.4354 0.0000 3.3701
Mg 0.0000 4.4354 3.3701
Tl 0.0000 0.0000 0.0000
Tl 2.6595 1.7759 -1.8527
Tl 2.6595 -1.7759 4.8876
Tl 2.6595 1.7759 1.8527
Tl 2.6595 -1.7759 8.5930
Tl 0.0000 0.0000 6.7403
Tl 1.7759 6.2113 -1.8527
Tl 1.7759 2.6595 4.8876
Tl 1.7759 6.2113 1.8527
Tl 1.7759 2.6595 8.5930
```

---

Question: What is the total moment in the third record?
Answer: 0.0 μB per cell

---

Repeat the first record exactly.
Entry from the Alexandria database: an optimized crystal structure of RbTa2F11 (PBE).

space-group type: Ibam
crystal system: orthorhombic
total moment: 0.0 μB per cell
formation energy without anion corrections: -3.2083 eV per atom

The structure in extended XYZ format:
```
28
Lattice="-4.0844 5.2537 6.2194 4.0844 -5.2537 6.2194 4.0844 5.2537 -6.2194" Properties=species:S:1:pos:R:3 pbc="T T T"
Rb 0.0000 0.0000 3.1097
Rb 0.0000 0.0000 9.3292
Ta 4.9698 1.9131 0.0000
Ta 0.8853 3.3406 0.0000
Ta 3.1991 1.9131 6.2194
Ta -0.8853 3.3406 6.2194
F 4.0844 0.0000 0.0000
F 2.1791 -1.0189 1.3479
F 4.9299 -3.2847 4.8916
F 5.9898 1.0189 1.3479
F 4.9299 3.2847 -1.3279
F 3.0402 2.1722 0.0000
F 3.0402 -2.1722 6.2194
F 0.8455 1.9690 1.3279
F 1.9053 4.2348 -1.3479
F 4.9299 3.2847 1.3279
F 2.1791 1.0189 4.8716
F 0.0000 5.2537 0.0000
F 1.9053 4.2348 1.3479
F -0.8455 1.9690 4.8916
F 2.1791 1.0189 7.5673
F 3.2389 3.2847 4.8916
F 1.0442 7.4259 0.0000
F 1.0442 3.0815 6.2194
F -0.8455 1.9690 7.5473
F -1.9053 4.2348 4.8716
F -0.8455 8.5384 1.3279
F 1.9053 6.2726 4.8716
```

---

Question: total moment of number 3 (Na3MgTl5)?
Answer: 0.0 μB per cell